Entry 1:
First-principles (GGA-PBE) data for crystalline U3Fe6Si5 at its relaxed geometry, as listed in Alexandria via LeMat-Bulk.

```
28
Lattice="3.976 0.000 0.000 0.000 8.311 0.000 0.000 0.000 12.002" Properties=species:S:1:pos:R:3 pbc="T T T"
Si 0.000 7.241 4.135
Si 1.988 1.635 6.001
Si 0.000 4.315 10.618
Si 1.988 1.070 10.136
Si 0.000 6.676 0.000
Si 1.988 1.070 1.866
Si 0.000 4.315 1.384
Si 0.000 7.241 7.867
Si 1.988 3.996 7.385
Si 1.988 3.996 4.617
U 0.000 1.865 0.000
U 0.000 2.077 8.344
U 1.988 6.234 2.343
U 1.988 6.446 6.001
U 1.988 6.234 9.659
U 0.000 2.077 3.658
Fe 0.000 8.173 1.956
Fe 0.000 3.305 6.001
Fe 0.000 4.904 3.690
Fe 1.988 0.138 4.045
Fe 1.988 3.406 2.311
Fe 1.988 3.406 9.691
Fe 1.988 5.005 0.000
Fe 1.988 7.997 0.000
Fe 1.988 0.138 7.957
Fe 0.000 0.314 6.001
Fe 0.000 8.173 10.046
Fe 0.000 4.904 8.312
```

Space-group type: No. 59
DFT total energy: -8.43 eV/atom



Entry 2:
First-principles (GGA-PBE) data for crystalline UFe2Si at its relaxed geometry, as listed in Alexandria via LeMat-Bulk.

```
8
Lattice="-1.717 4.071 0.489 -0.151 -0.553 4.077 6.806 -0.025 0.248" Properties=species:S:1:pos:R:3 pbc="T T T"
Fe 5.204 2.204 1.531
Fe -0.266 1.290 3.283
Fe 1.899 2.760 3.563
Fe 3.040 0.734 1.251
U 3.672 3.682 1.675
U 1.267 -0.188 3.140
Si 0.892 2.338 1.390
Si 4.046 1.155 3.425
```

Space-group type: No. 11
DFT total energy: -8.84 eV/atom



Entry 3:
First-principles (GGA-PBE) data for crystalline U2Fe5Si3 at its relaxed geometry, as listed in Alexandria via LeMat-Bulk.

```
20
Lattice="3.813 0.000 -0.649 0.000 6.067 0.000 0.064 0.000 11.893" Properties=species:S:1:pos:R:3 pbc="T T T"
Fe 2.736 2.612 4.544
Fe 2.711 0.140 4.400
Fe 1.141 5.646 6.699
Fe 2.334 5.447 2.188
Fe 0.518 1.481 3.041
Fe 0.210 3.540 1.234
Fe 1.543 2.413 9.056
Fe 3.359 4.514 8.202
Fe 3.667 0.506 10.009
Fe 1.166 3.173 6.843
U 3.180 1.505 7.151
U 1.934 4.559 11.351
U 1.943 1.526 -0.108
U 0.697 4.539 4.092
Si 2.975 4.438 5.952
Si 0.236 5.922 1.384
Si 2.352 2.906 2.289
Si 1.525 5.940 8.954
Si 0.901 1.404 5.292
Si 3.641 2.889 9.859
```

Space-group type: No. 36
DFT total energy: -8.44 eV/atom



Entry 4:
First-principles (GGA-PBE) data for crystalline UFe2Si3 at its relaxed geometry, as listed in Alexandria via LeMat-Bulk.

```
12
Lattice="5.112 0.000 0.000 0.000 5.613 -1.675 0.000 0.272 5.852" Properties=species:S:1:pos:R:3 pbc="T T T"
U 3.834 3.778 2.682
U 1.278 2.107 1.495
Si 3.834 2.637 -0.218
Si 1.278 3.248 4.395
Si 1.278 5.609 3.981
Si 3.834 0.276 0.196
Si 1.278 5.221 1.615
Si 3.834 0.664 2.562
Fe 2.556 1.368 4.308
Fe 0.000 1.368 4.308
Fe 2.556 4.518 -0.131
Fe 0.000 4.518 -0.131
```

Space-group type: No. 63
DFT total energy: -7.82 eV/atom



Entry 5:
First-principles (GGA-PBE) data for crystalline UFeSi at its relaxed geometry, as listed in Alexandria via LeMat-Bulk.

```
9
Lattice="-0.620 2.771 -0.770 -3.125 1.158 6.689 7.281 1.350 -1.007" Properties=species:S:1:pos:R:3 pbc="T T T"
U 1.920 1.799 -0.693
U 2.573 3.125 3.557
U -1.267 1.740 1.664
Si 4.634 0.859 -0.641
Si 1.511 0.912 2.066
Si -1.989 0.737 4.257
Fe 0.034 2.608 3.739
Fe 0.000 0.000 0.000
Fe 3.502 2.672 1.174
```

Space-group type: No. 189
DFT total energy: -8.33 eV/atom



Entry 6:
First-principles (GGA-PBE) data for crystalline UFe3Si2 at its relaxed geometry, as listed in Alexandria via LeMat-Bulk.

```
6
Lattice="3.737 0.000 0.000 0.000 4.397 -2.538 0.000 0.000 5.077" Properties=species:S:1:pos:R:3 pbc="T T T"
Fe 0.000 2.198 1.269
Fe 0.000 2.198 -1.269
Fe 0.000 0.000 2.538
Si 1.869 2.931 0.000
Si 1.869 1.466 2.538
U 0.000 0.000 0.000
```

Space-group type: No. 191
DFT total energy: -8.19 eV/atom



Entry 7:
First-principles (GGA-PBE) data for crystalline U2Fe3Si at its relaxed geometry, as listed in Alexandria via LeMat-Bulk.

```
12
Lattice="5.143 0.000 0.000 -2.571 4.454 0.000 0.000 0.000 7.399" Properties=species:S:1:pos:R:3 pbc="T T T"
U 0.000 2.969 4.186
U 2.571 1.485 3.212
U 0.000 2.969 6.912
U 2.571 1.485 0.487
Fe 0.000 1.495 1.850
Fe 3.848 0.747 5.549
Fe -1.277 3.706 1.850
Fe 1.295 0.747 5.549
Fe 2.571 2.959 5.549
Fe 1.277 3.706 1.850
Si 0.000 0.000 0.000
Si 0.000 0.000 3.699
```

Space-group type: No. 194
DFT total energy: -9.28 eV/atom



Entry 8:
First-principles (GGA-PBE) data for crystalline UFe2Si at its relaxed geometry, as listed in Alexandria via LeMat-Bulk.

```
4
Lattice="3.775 0.000 -0.255 0.000 5.541 0.000 -0.293 -2.770 3.036" Properties=species:S:1:pos:R:3 pbc="T T T"
Si 1.888 0.000 -0.128
Fe 0.122 0.000 1.276
Fe 3.361 2.770 1.505
U 1.888 2.770 -0.128
```

Space-group type: No. 12
DFT total energy: -8.38 eV/atom